# 1
Material: BiAs2PtSe
Method: DFT, PBE-GGA
State: relaxed

Summary:
**Space group**: No. 123
**Offset from the most stable computed form**: 0 meV/atom

a b c (Å): 4.880 4.880 5.186
angles (deg): 90.00 90.00 90.00
Positions (direct):
Bi1 0.000 0.000 0.000
As1 0.000 0.500 0.500
As2 0.500 0.000 0.500
Pt1 0.500 0.500 0.500
Se1 0.500 0.500 0.000

=====

# 2
Material: BiAs2PtSe
Method: DFT, PBE-GGA
State: relaxed

Summary:
**Space group**: No. 123
**Offset from the most stable computed form**: 869 meV/atom

a b c (Å): 5.498 5.498 5.031
angles (deg): 90.00 90.00 90.00
Positions (direct):
Bi1 0.000 0.000 0.000
As1 0.000 0.500 0.000
As2 0.500 0.000 0.000
Pt1 0.000 0.000 0.500
Se1 0.500 0.500 0.500

=====

# 3
Material: Sr2BiAsPt
Method: DFT, PBE-GGA
State: relaxed

Summary:
**E_form**: 31 meV per atom
**Space group**: No. 123

a b c (Å): 6.291 6.291 5.005
angles (deg): 90.00 90.00 90.00
Positions (direct):
Sr1 0.000 0.500 0.000
Sr2 0.500 0.000 0.000
Bi1 0.000 0.000 0.000
As1 0.500 0.500 0.500
Pt1 0.000 0.000 0.500

=====

# 4
Material: Sr4Bi2As2Pt
Method: DFT, PBE-GGA
State: relaxed

Summary:
**E_form**: -837 meV per atom
**Space group**: No. 12

a b c (Å): 6.721 6.721 6.297
angles (deg): 91.84 91.84 83.45
Positions (direct):
Sr1 0.113 0.621 0.761
Sr2 0.379 0.887 0.239
Sr3 0.621 0.113 0.761
Sr4 0.887 0.379 0.239
Bi1 0.115 0.115 0.682
Bi2 0.885 0.885 0.318
As1 0.400 0.400 0.133
As2 0.600 0.600 0.867
Pt1 0.500 0.500 0.500

=====

# 5
Material: PuBiAs
Method: DFT, PBE-GGA
State: relaxed

Summary:
**E_form**: -191 meV per atom
**Space group**: No. 156

a b c (Å): 4.802 4.802 4.166
angles (deg): 90.00 90.00 120.00
Positions (direct):
Pu1 0.000 0.000 0.000
Bi1 0.333 0.667 0.501
As1 0.667 0.333 0.002

=====

# 6
Material: Pu4BiAs2
Method: DFT, PBE-GGA
State: relaxed

Summary:
**E_form**: -732 meV per atom
**Space group**: No. 122

a b c (Å): 7.801 7.801 7.801
angles (deg): 109.84 109.84 108.74
Positions (direct):
Pu1 0.144 0.730 0.742
Pu2 0.152 0.237 0.758
Pu3 0.270 0.013 0.414
Pu4 0.480 0.394 0.242
Pu5 0.598 0.856 0.586
Pu6 0.606 0.848 0.086
Pu7 0.763 0.520 0.914
Pu8 0.987 0.402 0.258
Bi1 0.000 0.000 0.000
Bi2 0.750 0.250 0.500
As1 0.241 0.625 0.116
As2 0.375 0.491 0.616
As3 0.509 0.125 0.884
As4 0.875 0.759 0.384

=====

# 7
Material: Pu2BiAs
Method: DFT, PBE-GGA
State: relaxed

Summary:
**E_form**: -567 meV per atom
**Space group**: No. 160
**Offset from the most stable computed form**: 84 meV/atom

a b c (Å): 4.126 4.126 23.548
angles (deg): 90.00 90.00 120.00
Positions (direct):
Pu1 0.000 0.000 0.000
Pu2 0.000 0.000 0.189
Pu3 0.333 0.667 0.667
Pu4 0.333 0.667 0.856
Pu5 0.667 0.333 0.333
Pu6 0.667 0.333 0.523
Bi1 0.000 0.000 0.762
Bi2 0.333 0.667 0.429
Bi3 0.667 0.333 0.096
As1 0.000 0.000 0.593
As2 0.333 0.667 0.260
As3 0.667 0.333 0.926

=====

# 8
Material: Pu2BiAs
Method: DFT, PBE-GGA
State: relaxed

Summary:
**E_form**: -641 meV per atom
**Space group**: No. 123
**Offset from the most stable computed form**: 10 meV/atom

a b c (Å): 3.569 3.569 8.025
angles (deg): 90.00 90.00 90.00
Positions (direct):
Pu1 0.000 0.000 0.207
Pu2 0.000 0.000 0.793
Bi1 0.500 0.500 0.500
As1 0.500 0.500 0.000

=====

Please write out number 2 again, unchanged.
Material: BiAs2PtSe
Method: DFT, PBE-GGA
State: relaxed

Summary:
**Space group**: No. 123
**Offset from the most stable computed form**: 869 meV/atom

a b c (Å): 5.498 5.498 5.031
angles (deg): 90.00 90.00 90.00
Positions (direct):
Bi1 0.000 0.000 0.000
As1 0.000 0.500 0.000
As2 0.500 0.000 0.000
Pt1 0.000 0.000 0.500
Se1 0.500 0.500 0.500